Record 1
MnIn3Cl: relaxed, GGA-PBE.

a = 5.194 Å, b = 5.194 Å, c = 5.194 Å
α = 90.00°, β = 90.00°, γ = 90.00°
Fractional positions:
1 Cl 0.500 0.500 0.500
2 Mn 0.000 0.000 0.000
3 In 0.500 0.000 0.000
4 In 0.000 0.500 0.000
5 In 0.000 0.000 0.500

Properties
Theoretical density: 5.2 g/cm3
E_form (uncorrected): 39 meV/atom
Magnetic moment: 2.83 μB/cell
Density of states at the Fermi level: 4.44 states/eV/cell
Symmetry: Pm-3m
Uncorrected energy: -3.808 eV per atom
Crystal system: cubic
Distance to the lowest polymorph of the same formula: 0.000 eV/atom

Record 2
MnInCl2: relaxed, GGA-PBE.

a = 9.573 Å, b = 9.573 Å, c = 9.573 Å
α = 21.68°, β = 21.68°, γ = 21.68°
Fractional positions:
1 Cl 0.031 0.031 0.031
2 Cl 0.469 0.469 0.469
3 In 0.250 0.250 0.250
4 Mn 0.750 0.750 0.750

Properties
Theoretical density: 3.8 g/cm3
E_form (uncorrected): -648 meV/atom
Magnetic moment: 4.78 μB/cell
Density of states at the Fermi level: 2.64 states/eV/cell
Symmetry: R-3m
Uncorrected energy: -4.548 eV per atom
Crystal system: trigonal
Distance to the lowest polymorph of the same formula: 0.000 eV/atom

Record 3
MnIn4Cl: relaxed, GGA-PBE.

a = 6.088 Å, b = 6.088 Å, c = 6.088 Å
α = 60.00°, β = 60.00°, γ = 60.00°
Fractional positions:
1 In 0.375 0.875 0.375
2 In 0.375 0.375 0.375
3 In 0.375 0.375 0.875
4 In 0.875 0.375 0.375
5 Cl 0.000 0.000 0.000
6 Mn 0.750 0.750 0.750

Properties
Theoretical density: 5.7 g/cm3
E_form (uncorrected): 243 meV/atom
Magnetic moment: 4.32 μB/cell
Density of states at the Fermi level: 3.07 states/eV/cell
Symmetry: F-43m
Uncorrected energy: -3.418 eV per atom
Crystal system: cubic

Record 4
MnInCl2: relaxed, GGA-PBE.

a = 3.484 Å, b = 5.973 Å, c = 4.439 Å
α = 90.00°, β = 90.00°, γ = 90.00°
Fractional positions:
1 In 0.500 0.000 0.500
2 Cl 0.500 0.500 0.000
3 Cl 0.000 0.000 0.000
4 Mn 0.000 0.500 0.500

Properties
Theoretical density: 4.3 g/cm3
E_form (uncorrected): -214 meV/atom
Magnetic moment: 4.34 μB/cell
Density of states at the Fermi level: 1.38 states/eV/cell
Symmetry: Pmmm
Uncorrected energy: -4.114 eV per atom
Crystal system: orthorhombic
Distance to the lowest polymorph of the same formula: 0.434 eV/atom